#A
A plane-wave DFT calculation with PBE was carried out for a relaxed CdSiC2 crystal.

POSCAR file:
```
CdSiC2
1.0
-3.266 -2.315 0.729
-1.403 -0.400 3.799
-3.526 1.733 1.060
Si C Cd
1 2 1
Cartesian
0.000 0.000 0.000 Si
-2.049 -0.246 1.397 C
-6.147 -0.737 4.191 C
-4.098 -0.491 2.794 Cd
```


#B
A plane-wave DFT calculation with PBE was carried out for a relaxed CdSiC2 crystal.

POSCAR file:
```
CdSiC2
1.0
4.921 0.000 0.000
0.000 4.921 0.000
2.461 2.461 4.473
Si C Cd
2 4 2
Cartesian
2.461 2.461 0.000 Si
2.461 4.921 2.237 Si
3.322 1.230 1.118 C
1.600 3.691 1.118 C
3.691 4.060 3.355 C
6.152 5.782 3.355 C
0.000 0.000 0.000 Cd
4.921 2.461 2.237 Cd
```


Decreasing stability: #B, #A